Record 1
# YTa PBE-GGA relaxed
data_YTa
_space_group_name_H-M_alt 'P 1'
_space_group_IT_number 1
_space_group_name_Hall 'P 1'
_cell_length_a 3.2703
_cell_length_b 5.3458
_cell_length_c 17.0380
_cell_angle_alpha 90.00
_cell_angle_beta 90.00
_cell_angle_gamma 90.00
loop_
_atom_site_label
_atom_site_type_symbol
_atom_site_fract_x
_atom_site_fract_y
_atom_site_fract_z
Ta1 Ta 0.5000 0.5000 0.0000
Y1 Y 0.5000 0.0000 0.8103
Ta2 Ta 0.0000 0.5000 0.1270
Ta3 Ta 0.5000 0.0000 0.3730
Ta4 Ta 0.0000 0.0000 0.5000
Y2 Y 0.0000 0.5000 0.3103
Y3 Y 0.0000 0.5000 0.6897
Ta5 Ta 0.5000 0.0000 0.6270
Y4 Y 0.5000 0.5000 0.5000
Y5 Y 0.0000 0.0000 0.0000
Ta6 Ta 0.0000 0.5000 0.8730
Y6 Y 0.5000 0.0000 0.1897
# - DOS at the Fermi energy: 15.6 states/eV per cell
# - Energy of formation: 35.6 kJ per mole of atoms

Record 2
# YTa PBE-GGA relaxed
data_YTa
_space_group_name_H-M_alt 'P 1'
_space_group_IT_number 1
_space_group_name_Hall 'P 1'
_cell_length_a 3.4721
_cell_length_b 8.6277
_cell_length_c 3.5764
_cell_angle_alpha 90.00
_cell_angle_beta 90.00
_cell_angle_gamma 101.61
loop_
_atom_site_label
_atom_site_type_symbol
_atom_site_fract_x
_atom_site_fract_y
_atom_site_fract_z
Ta1 Ta 0.7862 0.5724 0.7500
Y1 Y 0.5963 0.1927 0.7500
Ta2 Ta 0.2138 0.4276 0.2500
Y2 Y 0.4037 0.8073 0.2500
# - DOS at the Fermi energy: 3.6 states/eV per cell
# - Energy of formation: 23.4 kJ per mole of atoms

Record 3
# YTa PBE-GGA relaxed
data_YTa
_space_group_name_H-M_alt 'P 1'
_space_group_IT_number 1
_space_group_name_Hall 'P 1'
_cell_length_a 5.1979
_cell_length_b 5.1979
_cell_length_c 4.9406
_cell_angle_alpha 90.00
_cell_angle_beta 90.00
_cell_angle_gamma 120.00
loop_
_atom_site_label
_atom_site_type_symbol
_atom_site_fract_x
_atom_site_fract_y
_atom_site_fract_z
Ta1 Ta 0.0000 0.0000 0.0000
Y1 Y 0.3333 0.6667 0.2500
Ta2 Ta 0.0000 0.0000 0.5000
Y2 Y 0.6667 0.3333 0.7500
# - DOS at the Fermi energy: 7.3 states/eV per cell
# - Energy of formation: 79.8 kJ per mole of atoms

Record 4
# YTa PBE-GGA relaxed
data_YTa
_space_group_name_H-M_alt 'P 1'
_space_group_IT_number 1
_space_group_name_Hall 'P 1'
_cell_length_a 3.0149
_cell_length_b 3.0149
_cell_length_c 5.0739
_cell_angle_alpha 90.00
_cell_angle_beta 90.00
_cell_angle_gamma 90.00
loop_
_atom_site_label
_atom_site_type_symbol
_atom_site_fract_x
_atom_site_fract_y
_atom_site_fract_z
Ta1 Ta 0.0000 0.0000 0.0000
Y1 Y 0.5000 0.5000 0.5000
# - DOS at the Fermi energy: 2.4 states/eV per cell
# - Energy of formation: 47.9 kJ per mole of atoms

- Which value of DOS at the Fermi energy does entry 3 give?
  7.3 states/eV per cell

Copy entry 4 word for word.
# YTa PBE-GGA relaxed
data_YTa
_space_group_name_H-M_alt 'P 1'
_space_group_IT_number 1
_space_group_name_Hall 'P 1'
_cell_length_a 3.0149
_cell_length_b 3.0149
_cell_length_c 5.0739
_cell_angle_alpha 90.00
_cell_angle_beta 90.00
_cell_angle_gamma 90.00
loop_
_atom_site_label
_atom_site_type_symbol
_atom_site_fract_x
_atom_site_fract_y
_atom_site_fract_z
Ta1 Ta 0.0000 0.0000 0.0000
Y1 Y 0.5000 0.5000 0.5000
# - DOS at the Fermi energy: 2.4 states/eV per cell
# - Energy of formation: 47.9 kJ per mole of atoms

Copy entry 3 word for word.
# YTa PBE-GGA relaxed
data_YTa
_space_group_name_H-M_alt 'P 1'
_space_group_IT_number 1
_space_group_name_Hall 'P 1'
_cell_length_a 5.1979
_cell_length_b 5.1979
_cell_length_c 4.9406
_cell_angle_alpha 90.00
_cell_angle_beta 90.00
_cell_angle_gamma 120.00
loop_
_atom_site_label
_atom_site_type_symbol
_atom_site_fract_x
_atom_site_fract_y
_atom_site_fract_z
Ta1 Ta 0.0000 0.0000 0.0000
Y1 Y 0.3333 0.6667 0.2500
Ta2 Ta 0.0000 0.0000 0.5000
Y2 Y 0.6667 0.3333 0.7500
# - DOS at the Fermi energy: 7.3 states/eV per cell
# - Energy of formation: 79.8 kJ per mole of atoms